Computed, not measured: an optimized crystal structure of Na2SrHgO at the GGA-PBE level of DFT.

- E_tot: -14.51 eV/f.u.
- Formation energy without anion corrections: -0.99 eV per atom
- Fermi-level density of states: 1.46 states/eV/cell

Cell lengths 4.923, 4.923, 4.929 Å; angles 90.00, 90.00, 90.00 degrees
Space group P4/mmm (No. 123)
Inequivalent atoms, fractional coordinates:
Na 0.000 0.500 0.000 (multiplicity 2)
Sr 0.000 0.000 0.500 (multiplicity 1)
Hg 0.500 0.500 0.500 (multiplicity 1)
O 0.000 0.000 0.000 (multiplicity 1)